{
  "formula": "SiPOs",
  "functional": "PBE-GGA",
  "state": "optimized geometry",
  "lattice": [[3.6734, 0.0000, 0.0000], [0.0000, 3.6734, 0.0000], [0.0000, 0.0000, 6.6899]],
  "species": ["Si", "Si", "P", "P", "Os", "Os"],
  "fractional_positions": [[0.2500, 0.2500, 0.0944], [0.7500, 0.7500, 0.9056], [0.2500, 0.7500, 0.5000], [0.7500, 0.2500, 0.5000], [0.2500, 0.2500, 0.7142], [0.7500, 0.7500, 0.2858]],
  "space_group": "P4/nmm",
  "mass_density_g_cm3": 9.17,
  "formation_energy_uncorrected_mev_per_atom": 128.5,
  "dos_ef_per_ev_atom": 0.455
}